No. 1
This record from Alexandria describes an optimized crystal structure of Tb2Tm3Sc4. The functional is PBE.

M_tot: 0.00 μB/f.u.
energy relative to the elements: 0.1095 eV/atom
calculated total energy: -5.224 eV per atom
V: 27.903 Å³ per atom

abc: 5.8348 10.8085 10.8085
angles: 61.26 62.20 62.20
Last column: nearest neighbours and their distance in Å.
Element x y z (fractional)
Tb1 0.9374 0.5162 0.2283  5 Sc 3.17-3.55, 4 Tm 3.32-3.41
Tb2 0.4374 0.2283 0.5162  5 Sc 3.17-3.55, 4 Tm 3.32-3.41
Tb3 0.5626 0.7717 0.4838  5 Sc 3.17-3.55, 4 Tm 3.32-3.41
Tb4 0.0626 0.4838 0.7717  5 Sc 3.17-3.55, 4 Tm 3.32-3.41
Sc1 0.4064 0.5768 0.8627  1 Sc 3.06, 2 Tm 3.19-3.28, 2 Tb 3.24-3.27
Sc2 0.9064 0.8627 0.5768  1 Sc 3.06, 2 Tm 3.19-3.28, 2 Tb 3.24-3.27
Sc3 0.5647 0.0977 0.8186  3 Sc 3.12-3.34, 1 Tb 3.17, 4 Tm 3.21-3.29
Sc4 0.4353 0.9023 0.1814  3 Sc 3.12-3.34, 1 Tb 3.17, 4 Tm 3.21-3.29
Sc5 0.5936 0.4232 0.1373  1 Sc 3.06, 2 Tm 3.19-3.28, 2 Tb 3.24-3.27
Sc6 0.0936 0.1373 0.4232  1 Sc 3.06, 2 Tm 3.19-3.28, 2 Tb 3.24-3.27
Sc7 0.0647 0.8186 0.0977  3 Sc 3.12-3.34, 1 Tb 3.17, 4 Tm 3.21-3.29
Sc8 0.9353 0.1814 0.9023  3 Sc 3.12-3.34, 1 Tb 3.17, 4 Tm 3.21-3.29
Tm1 0.7899 0.0685 0.2568  7 Sc 3.19-3.52, 2 Tb 3.32-3.38
Tm2 0.7101 0.7432 0.9315  7 Sc 3.19-3.52, 2 Tb 3.32-3.38
Tm3 0.2899 0.2568 0.0685  7 Sc 3.19-3.52, 2 Tb 3.32-3.38
Tm4 0.2101 0.9315 0.7432  7 Sc 3.19-3.52, 2 Tb 3.32-3.38
Tm5 0.7500 0.3990 0.6010  4 Sc 3.29-3.47, 4 Tb 3.36-3.41, 2 Tm 3.67
Tm6 0.2500 0.6010 0.3990  4 Sc 3.29-3.47, 4 Tb 3.36-3.41, 2 Tm 3.67

---

No. 2
This record from Alexandria describes an optimized crystal structure of TbTm2Sc. The functional is PBE.

M_tot: 0.05 μB/f.u.
energy relative to the elements: 0.1453 eV/atom
energy relative to the lowest polymorph listed for this composition: 132 meV/atom
calculated total energy: -4.831 eV per atom
V: 29.458 Å³ per atom

abc: 5.5029 5.5029 5.5029
angles: 60.00 60.00 60.00
Last column: nearest neighbours and their distance in Å.
Element x y z (fractional)
Tb1 0.0000 0.0000 0.0000  8 Tm 3.37
Sc1 0.5000 0.5000 0.5000  8 Tm 3.37
Tm1 0.2500 0.2500 0.2500  4 Tb 3.37, 4 Sc 3.37
Tm2 0.7500 0.7500 0.7500  4 Sc 3.37, 4 Tb 3.37

---

No. 3
This record from Alexandria describes an optimized crystal structure of Tb8Tm4Sc. The functional is PBE.

M_tot: 0.00 μB/f.u.
energy relative to the elements: 0.1937 eV/atom
calculated total energy: -4.519 eV per atom
V: 31.201 Å³ per atom

abc: 7.1803 7.1803 9.9855
angles: 90.00 111.07 120.00
Last column: nearest neighbours and their distance in Å.
Element x y z (fractional)
Tb1 0.9508 0.7471 0.6979  1 Sc 2.88
Tb2 0.4942 0.7471 0.6979  1 Sc 2.88
Tb3 0.0492 0.7963 0.3021  1 Sc 2.88
Tb4 0.0492 0.2529 0.3021  1 Sc 2.88
Tb5 0.5058 0.2529 0.3021  1 Sc 2.88
Tb6 0.5688 0.7844 0.3532  9 Tb 3.62-3.66, 3 Tm 3.82
Tb7 0.9508 0.2037 0.6979  1 Sc 2.88
Tb8 0.4312 0.2156 0.6468  9 Tb 3.62-3.66, 3 Tm 3.82
Tm1 0.0000 0.5000 0.0000  6 Tb 3.50-3.82, 6 Tm 3.59
Tm2 0.5000 0.5000 0.0000  6 Tb 3.50-3.82, 6 Tm 3.59
Tm3 0.5000 0.0000 0.0000  6 Tb 3.50-3.82, 6 Tm 3.59
Tm4 0.0000 0.0000 0.0000  6 Tb 3.33, 6 Tm 3.59
Sc1 0.0000 0.5000 0.5000  6 Tb 2.88

---

No. 4
This record from Alexandria describes an optimized crystal structure of TbTm3Sc4. The functional is PBE.

M_tot: 0.00 μB/f.u.
energy relative to the elements: 0.0192 eV/atom
energy relative to the lowest polymorph listed for this composition: 0 meV/atom
calculated total energy: -5.402 eV per atom
V: 27.596 Å³ per atom

abc: 5.9734 6.8977 10.7162
angles: 90.00 90.00 90.00
Last column: nearest neighbours and their distance in Å.
Element x y z (fractional)
Sc1 0.6502 0.1183 0.5000  6 Sc 3.31-3.41, 4 Tm 3.33-3.48, 2 Tb 3.35-3.55
Sc2 0.9782 0.1181 0.7489  6 Sc 3.29-3.40, 5 Tm 3.32-3.55, 1 Tb 3.34
Sc3 0.1502 0.8817 0.0000  6 Sc 3.31-3.41, 4 Tm 3.33-3.48, 2 Tb 3.35-3.55
Sc4 0.9782 0.1181 0.2511  6 Sc 3.29-3.40, 5 Tm 3.32-3.55, 1 Tb 3.34
Sc5 0.4782 0.8819 0.2489  6 Sc 3.29-3.40, 5 Tm 3.32-3.55, 1 Tb 3.34
Sc6 0.6510 0.1180 0.0000  6 Sc 3.29-3.41, 4 Tm 3.34-3.55, 2 Tb 3.41-3.48
Sc7 0.1510 0.8820 0.5000  6 Sc 3.29-3.41, 4 Tm 3.34-3.55, 2 Tb 3.41-3.48
Sc8 0.4782 0.8819 0.7511  6 Sc 3.29-3.40, 5 Tm 3.32-3.55, 1 Tb 3.34
Tm1 0.9851 0.6327 0.2496  6 Sc 3.33-3.55, 4 Tm 3.37-3.50, 2 Tb 3.37-3.38
Tm2 0.4851 0.3673 0.2504  6 Sc 3.33-3.55, 4 Tm 3.37-3.50, 2 Tb 3.37-3.38
Tm3 0.6433 0.6323 0.0000  6 Sc 3.32-3.55, 4 Tm 3.37-3.38, 2 Tb 3.50-3.51
Tm4 0.9851 0.6327 0.7504  6 Sc 3.33-3.55, 4 Tm 3.37-3.50, 2 Tb 3.37-3.38
Tm5 0.4851 0.3673 0.7496  6 Sc 3.33-3.55, 4 Tm 3.37-3.50, 2 Tb 3.37-3.38
Tm6 0.1433 0.3677 0.5000  6 Sc 3.32-3.55, 4 Tm 3.37-3.38, 2 Tb 3.50-3.51
Tb1 0.1443 0.3672 0.0000  6 Sc 3.34-3.55, 6 Tm 3.37-3.51
Tb2 0.6443 0.6328 0.5000  6 Sc 3.34-3.55, 6 Tm 3.37-3.51

---

No. 5
This record from Alexandria describes an optimized crystal structure of Tb5TmSc. The functional is PBE.

M_tot: 0.00 μB/f.u.
energy relative to the elements: 0.0307 eV/atom
energy relative to the lowest polymorph listed for this composition: 0 meV/atom
calculated total energy: -4.820 eV per atom
V: 30.515 Å³ per atom

abc: 9.2779 16.0820 4.9678
angles: 39.51 36.63 29.98
Last column: nearest neighbours and their distance in Å.
Element x y z (fractional)
Tb1 0.9963 0.3600 0.6411  7 Tb 3.48-3.55, 3 Sc 3.49-3.50, 2 Tm 3.50-3.51
Tb2 0.8599 0.6405 0.6445  8 Tb 3.48-3.52, 3 Sc 3.50, 1 Tm 3.55
Tb3 0.7174 0.9252 0.6469  1 Sc 3.49, 8 Tb 3.49-3.55, 3 Tm 3.52-3.53
Tb4 0.2850 0.7840 0.6482  8 Tb 3.48-3.52, 2 Sc 3.50-3.51, 2 Tm 3.55
Tb5 0.5728 0.2159 0.6369  7 Tb 3.48-3.55, 2 Sc 3.49, 3 Tm 3.49-3.51
Sc1 0.4294 0.4989 0.6444  1 Tm 3.47, 11 Tb 3.49-3.51
Tm1 0.1393 0.0755 0.6381  1 Sc 3.47, 11 Tb 3.49-3.55

---

No. 6
This record from Alexandria describes an optimized crystal structure of Tb2Tm2Sc3. The functional is PBE.

M_tot: 0.00 μB/f.u.
energy relative to the elements: 0.0514 eV/atom
energy relative to the lowest polymorph listed for this composition: 0 meV/atom
calculated total energy: -5.263 eV per atom
V: 28.045 Å³ per atom

abc: 4.8196 5.8957 7.6498
angles: 97.54 90.00 114.13
Last column: nearest neighbours and their distance in Å.
Element x y z (fractional)
Tm1 0.0711 0.1423 0.7100  1 Tm 3.35, 4 Tb 3.39-3.46, 7 Sc 3.39-3.44
Tm2 0.9289 0.8577 0.2900  1 Tm 3.35, 4 Tb 3.39-3.46, 7 Sc 3.39-3.44
Tb1 0.7875 0.5751 0.8539  6 Sc 3.39-3.44, 4 Tm 3.39-3.46, 2 Tb 3.46
Tb2 0.2125 0.4249 0.1461  6 Sc 3.39-3.44, 4 Tm 3.39-3.46, 2 Tb 3.46
Sc1 0.6428 0.2856 0.4279  3 Tb 3.39-3.40, 5 Tm 3.39-3.40, 4 Sc 3.41
Sc2 0.5000 0.0000 0.0000  6 Tb 3.40-3.44, 2 Sc 3.41, 4 Tm 3.44
Sc3 0.3572 0.7144 0.5721  3 Tb 3.39-3.40, 5 Tm 3.39-3.40, 4 Sc 3.41

---

No. 7
This record from Alexandria describes an optimized crystal structure of Tb2TmSc6. The functional is PBE.

M_tot: 1.16 μB/f.u.
energy relative to the elements: 0.0778 eV/atom
energy relative to the lowest polymorph listed for this composition: 0 meV/atom
calculated total energy: -5.669 eV per atom
V: 26.956 Å³ per atom

abc: 3.3892 3.3892 24.3883
angles: 90.00 90.00 120.00
Last column: nearest neighbours and their distance in Å.
Element x y z (fractional)
Tb1 0.3333 0.6667 0.6727  6 Sc 3.34-3.39, 6 Tb 3.39
Tb2 0.3333 0.6667 0.3273  6 Sc 3.34-3.39, 6 Tb 3.39
Sc1 0.0000 0.0000 0.2138  9 Sc 3.18-3.39, 3 Tb 3.39
Sc2 0.0000 0.0000 0.7862  9 Sc 3.18-3.39, 3 Tb 3.39
Sc3 0.0000 0.0000 0.4384  1 Sc 3.00, 3 Tb 3.34
Sc4 0.0000 0.0000 0.5616  1 Sc 3.00, 3 Tb 3.34
Sc5 0.3333 0.6667 0.1108  9 Sc 3.18-3.39, 3 Tm 3.34
Sc6 0.3333 0.6667 0.8892  9 Sc 3.18-3.39, 3 Tm 3.34
Tm1 0.0000 0.0000 0.0000  6 Sc 3.34, 6 Tm 3.39

---

No. 8
This record from Alexandria describes an optimized crystal structure of TbTm3Sc6. The functional is PBE.

M_tot: 0.00 μB/f.u.
energy relative to the elements: 0.3957 eV/atom
energy relative to the lowest polymorph listed for this composition: 241 meV/atom
calculated total energy: -5.208 eV per atom
V: 27.582 Å³ per atom

abc: 9.1905 9.1905 6.5094
angles: 45.09 45.09 60.00
Last column: nearest neighbours and their distance in Å.
Element x y z (fractional)
Tm1 0.1489 0.1489 0.5533  1 Tm 2.83, 1 Tb 2.83
Tm2 0.3987 0.3987 0.8040  2 Tm 2.81-2.83, 3 Sc 3.07
Tm3 0.6472 0.6472 0.0584  1 Tm 2.81, 1 Tb 2.85
Sc1 0.0671 0.4016 0.7969  3 Tm 3.07-3.21
Sc2 0.4016 0.7343 0.7969  3 Tm 3.07-3.21
Sc3 0.5652 0.2362 0.2967  1 Tb 3.08, 2 Tm 3.19-3.20
Sc4 0.2362 0.9019 0.2967  1 Tb 3.08, 2 Tm 3.19-3.20
Sc5 0.9019 0.5652 0.2967  1 Tb 3.08, 2 Tm 3.19-3.20
Sc6 0.7343 0.0671 0.7969  3 Tm 3.07-3.21
Tb1 0.8989 0.8989 0.3034  2 Tm 2.83-2.85, 3 Sc 3.08

---

No. 9
This record from Alexandria describes an optimized crystal structure of Tb6Tm3Sc. The functional is PBE.

M_tot: 0.00 μB/f.u.
energy relative to the elements: 0.2335 eV/atom
energy relative to the lowest polymorph listed for this composition: 92 meV/atom
calculated total energy: -4.519 eV per atom
V: 31.687 Å³ per atom

abc: 9.6691 9.6691 6.8176
angles: 44.84 44.84 60.00
Last column: nearest neighbours and their distance in Å.
Element x y z (fractional)
Tm1 0.3645 0.3645 0.9064  2 Tm 2.90-3.05
Tm2 0.1044 0.1044 0.6867  1 Sc 2.85, 1 Tm 3.05
Tm3 0.6119 0.6119 0.1642  1 Tm 2.90, 1 Sc 2.94
Tb1 0.0824 0.4385 0.7218  3 Tm 3.30-3.56, 1 Sc 3.34, 1 Tb 3.68
Tb2 0.9336 0.5937 0.2210  1 Sc 3.27, 2 Tm 3.30-3.42
Tb3 0.5937 0.2516 0.2210  1 Sc 3.27, 2 Tm 3.30-3.42
Tb4 0.7572 0.0824 0.7218  3 Tm 3.30-3.56, 1 Sc 3.34, 1 Tb 3.68
Tb5 0.2516 0.9336 0.2210  1 Sc 3.27, 2 Tm 3.30-3.42
Tb6 0.4385 0.7572 0.7218  3 Tm 3.30-3.56, 1 Sc 3.34, 1 Tb 3.68
Sc1 0.8620 0.8620 0.4141  2 Tm 2.85-2.94

---

No. 10
This record from Alexandria describes an optimized crystal structure of Tb5Tm4Sc. The functional is PBE.

M_tot: 0.00 μB/f.u.
energy relative to the elements: 0.0111 eV/atom
energy relative to the lowest polymorph listed for this composition: 0 meV/atom
calculated total energy: -4.726 eV per atom
V: 30.768 Å³ per atom

abc: 6.6158 6.6135 9.0601
angles: 72.37 72.33 55.72
Last column: nearest neighbours and their distance in Å.
Element x y z (fractional)
Tb1 0.3779 0.6684 0.7535  4 Tb 3.45-3.60, 6 Tm 3.45-3.62, 2 Sc 3.53-3.58
Tb2 0.7155 0.3303 0.2463  1 Sc 3.42, 6 Tm 3.44-3.62, 5 Tb 3.51-3.59
Tb3 0.9829 0.2656 0.5507  6 Tm 3.45-3.61, 5 Tb 3.46-3.60, 1 Sc 3.57
Tb4 0.3165 0.9371 0.0489  6 Tm 3.44-3.56, 2 Sc 3.44-3.47, 4 Tb 3.45-3.59
Tb5 0.1168 0.7325 0.4499  6 Tm 3.46-3.59, 6 Tb 3.46-3.59
Tm1 0.1824 0.4688 0.1467  7 Tb 3.44-3.61, 3 Tm 3.45-3.60, 2 Sc 3.55-3.57
Tm2 0.5853 0.8650 0.3488  8 Tb 3.44-3.62, 3 Tm 3.51-3.60, 1 Sc 3.56
Tm3 0.5178 0.1335 0.6536  1 Sc 3.42, 8 Tb 3.45-3.62, 3 Tm 3.51-3.59
Tm4 0.9115 0.5338 0.8515  3 Tm 3.45-3.59, 7 Tb 3.45-3.59, 2 Sc 3.46
Sc1 0.7829 0.0650 0.9501  6 Tb 3.42-3.58, 6 Tm 3.42-3.57

---

No. 11
This record from Alexandria describes an optimized crystal structure of TbTm8Sc6. The functional is PBE.

M_tot: 0.00 μB/f.u.
energy relative to the elements: 0.1685 eV/atom
energy relative to the lowest polymorph listed for this composition: 0 meV/atom
calculated total energy: -5.058 eV per atom
V: 28.342 Å³ per atom

abc: 8.2703 8.2703 8.2703
angles: 62.83 62.83 62.83
Last column: nearest neighbours and their distance in Å.
Element x y z (fractional)
Tm1 0.8891 0.2849 0.2501  3 Sc 3.25-3.63, 5 Tm 3.26-3.27, 1 Tb 3.38
Tm2 0.5785 0.5785 0.5785  4 Tm 3.11-3.27, 3 Sc 3.15
Tm3 0.7151 0.7499 0.1109  3 Sc 3.25-3.63, 5 Tm 3.26-3.27, 1 Tb 3.38
Tm4 0.7499 0.1109 0.7151  3 Sc 3.25-3.63, 5 Tm 3.26-3.27, 1 Tb 3.38
Tm5 0.2849 0.2501 0.8891  3 Sc 3.25-3.63, 5 Tm 3.26-3.27, 1 Tb 3.38
Tm6 0.2501 0.8891 0.2849  3 Sc 3.25-3.63, 5 Tm 3.26-3.27, 1 Tb 3.38
Tm7 0.1109 0.7151 0.7499  3 Sc 3.25-3.63, 5 Tm 3.26-3.27, 1 Tb 3.38
Tm8 0.4215 0.4215 0.4215  4 Tm 3.11-3.27, 3 Sc 3.15
Sc1 0.8957 0.4656 0.7563  3 Tm 3.15-3.31, 2 Sc 3.28, 1 Tb 3.33
Sc2 0.1043 0.5344 0.2437  3 Tm 3.15-3.31, 2 Sc 3.28, 1 Tb 3.33
Sc3 0.5344 0.2437 0.1043  3 Tm 3.15-3.31, 2 Sc 3.28, 1 Tb 3.33
Sc4 0.7563 0.8957 0.4656  3 Tm 3.15-3.31, 2 Sc 3.28, 1 Tb 3.33
Sc5 0.4656 0.7563 0.8957  3 Tm 3.15-3.31, 2 Sc 3.28, 1 Tb 3.33
Sc6 0.2437 0.1043 0.5344  3 Tm 3.15-3.31, 2 Sc 3.28, 1 Tb 3.33
Tb1 0.0000 0.0000 0.0000  6 Sc 3.33, 6 Tm 3.38

---

No. 12
This record from Alexandria describes an optimized crystal structure of Tb3Tm7Sc2. The functional is PBE.

M_tot: 0.00 μB/f.u.
energy relative to the elements: 0.1189 eV/atom
energy relative to the lowest polymorph listed for this composition: 0 meV/atom
calculated total energy: -4.702 eV per atom
V: 29.939 Å³ per atom

abc: 3.5011 5.5614 18.6601
angles: 98.57 90.00 90.00
Last column: nearest neighbours and their distance in Å.
Element x y z (fractional)
Tb1 0.5000 0.6841 0.3681  2 Tb 3.50, 4 Sc 3.56, 8 Tm 3.63-3.75
Tb2 0.5000 0.5000 0.0000  4 Tm 3.29, 2 Tb 3.50
Tb3 0.5000 0.3159 0.6319  2 Tb 3.50, 4 Sc 3.56, 8 Tm 3.63-3.75
Tm1 0.0000 0.7703 0.5406  1 Sc 3.05, 2 Tm 3.16
Tm2 0.5000 0.9267 0.8535  8 Tm 3.22-3.50, 2 Sc 3.24
Tm3 0.0000 0.4057 0.8114  6 Tm 3.38-3.50, 2 Sc 3.39, 2 Tb 3.75
Tm4 0.0000 0.5943 0.1886  6 Tm 3.38-3.50, 2 Sc 3.39, 2 Tb 3.75
Tm5 0.0000 0.0000 0.0000  6 Tm 3.22-3.50, 4 Tb 3.29
Tm6 0.0000 0.2297 0.4594  1 Sc 3.05, 2 Tm 3.16
Tm7 0.5000 0.0733 0.1465  8 Tm 3.22-3.50, 2 Sc 3.24
Sc1 0.0000 0.1471 0.2942  5 Tm 3.05-3.39
Sc2 0.0000 0.8529 0.7058  5 Tm 3.05-3.39